VASP calculation (PBE-GGA) on a geometry-optimized SbPCCl2 structure.

abc: 5.1211 5.1211 5.4399
angles: 90.00 90.00 90.00
Last column: nearest neighbours and their distance in Å.
Fractional coordinates of all 5 atoms:
Sb (0.0000, 0.0000, 0.0000)  4 Cl 2.56, 2 P 2.72
P (0.0000, 0.0000, 0.5000)  2 Sb 2.72
C (0.5000, 0.5000, 0.5000)  4 P 3.62, 8 Cl 3.74
Cl (0.0000, 0.5000, 0.0000)  2 Sb 2.56
Cl (0.5000, 0.0000, 0.0000)  2 Sb 2.56

Results
ΔE_f (raw) in meV/atom: 1602
Distance to the lowest polymorph of the same formula in meV per atom: 565.2
Space-group type: No. 123

***

VASP calculation (PBE-GGA) on a geometry-optimized NaLaTmSe3 structure.

abc: 8.3136 4.1797 9.2428
angles: 90.00 105.91 90.00
Last column: nearest neighbours and their distance in Å.
Fractional coordinates of all 12 atoms:
Na (0.0960, 0.2500, 0.0838)  4 Se 2.71-2.89, 2 Na 2.82
Na (0.9040, 0.7500, 0.9162)  4 Se 2.71-2.89, 2 Na 2.82
La (0.2087, 0.2500, 0.7314)  7 Se 3.05-3.23
La (0.7913, 0.7500, 0.2686)  7 Se 3.05-3.23
Tm (0.3285, 0.7500, 0.3460)  6 Se 2.83-3.07
Tm (0.6715, 0.2500, 0.6540)  6 Se 2.83-3.07
Se (0.0963, 0.2500, 0.3774)  1 Na 2.71, 2 Tm 2.91
Se (0.2654, 0.7500, 0.0028)  3 Na 2.74-2.89
Se (0.4452, 0.7500, 0.6638)  3 Tm 2.83, 2 La 3.05
Se (0.5548, 0.2500, 0.3362)  3 Tm 2.83, 2 La 3.05
Se (0.7346, 0.2500, 0.9972)  3 Na 2.74-2.89
Se (0.9037, 0.7500, 0.6226)  1 Na 2.71, 2 Tm 2.91

Results
ΔE_f (raw) in meV/atom: -1559
Space-group type: No. 11

***

no.,D(E_F) (states/eV/cell),calculated total energy (eV/atom)
1,3.15,-2.888
2,6.08,-5.088